Here is a relaxed structure of MnRu3 from the Alexandria database. Energies are from GGA-PBEsol.

a = 4.9263 Å, b = 4.9263 Å, c = 4.9263 Å
α = 148.75°, β = 64.86°, γ = 124.74°
Last column: nearest neighbours and their distance in Å.
Positions (direct):
Mn 0.0000 0.0000 0.0000  10 Ru 2.55-2.67, 2 Mn 2.65
Ru 0.4123 0.6672 0.7451  3 Mn 2.55-2.61, 9 Ru 2.57-2.65
Ru 0.5083 0.0083 0.5000  8 Ru 2.57-2.65, 4 Mn 2.61-2.67
Ru 0.9221 0.6672 0.2549  3 Mn 2.55-2.61, 9 Ru 2.57-2.65

Properties
As for the formation enthalpy at 0 K: 0.022 eV/atom.

Here is a relaxed structure of Mn3Ru from the Alexandria database. Energies are from GGA-PBEsol.

a = 2.5512 Å, b = 2.5512 Å, c = 6.9871 Å
α = 90.00°, β = 90.00°, γ = 90.00°
Last column: nearest neighbours and their distance in Å.
Positions (direct):
Mn 0.0000 0.0000 0.0000  12 Mn 2.45-2.55
Mn 0.5000 0.5000 0.2370  8 Mn 2.45-2.55, 4 Ru 2.58
Mn 0.5000 0.5000 0.7630  8 Mn 2.45-2.55, 4 Ru 2.58
Ru 0.0000 0.0000 0.5000  4 Ru 2.55, 8 Mn 2.58

Properties
As for the formation enthalpy at 0 K: 0.112 eV/atom.

Here is a relaxed structure of Mn2Ru from the Alexandria database. Energies are from GGA-PBEsol.

a = 4.5849 Å, b = 4.5849 Å, c = 14.9604 Å
α = 90.00°, β = 90.00°, γ = 120.00°
Last column: nearest neighbours and their distance in Å.
Positions (direct):
Mn 0.0000 0.5000 0.0000  6 Mn 2.29-2.34
Mn 0.0000 0.5000 0.5000  6 Mn 2.29-2.34
Mn 0.1584 0.3168 0.2500  6 Mn 2.18-2.41
Mn 0.1584 0.8416 0.2500  6 Mn 2.18-2.41
Mn 0.3168 0.1584 0.7500  6 Mn 2.18-2.41
Mn 0.3333 0.6667 0.1290  6 Mn 2.28-2.34
Mn 0.3333 0.6667 0.3710  6 Mn 2.28-2.34
Mn 0.5000 0.0000 0.0000  6 Mn 2.29-2.34
Mn 0.5000 0.0000 0.5000  6 Mn 2.29-2.34
Mn 0.5000 0.5000 0.0000  6 Mn 2.29-2.34
Mn 0.5000 0.5000 0.5000  6 Mn 2.29-2.34
Mn 0.6667 0.3333 0.6290  6 Mn 2.28-2.34
Mn 0.6667 0.3333 0.8710  6 Mn 2.28-2.34
Mn 0.6832 0.8416 0.2500  6 Mn 2.18-2.41
Mn 0.8416 0.1584 0.7500  6 Mn 2.18-2.41
Mn 0.8416 0.6832 0.7500  6 Mn 2.18-2.41
Ru 0.0000 0.0000 0.0899  12 Mn 2.66-2.71, 4 Ru 2.69-2.82
Ru 0.0000 0.0000 0.4101  12 Mn 2.66-2.71, 4 Ru 2.69-2.82
Ru 0.0000 0.0000 0.5899  12 Mn 2.66-2.71, 4 Ru 2.69-2.82
Ru 0.0000 0.0000 0.9101  12 Mn 2.66-2.71, 4 Ru 2.69-2.82
Ru 0.3333 0.6667 0.6556  12 Mn 2.68-2.69, 4 Ru 2.82
Ru 0.3333 0.6667 0.8444  12 Mn 2.68-2.69, 4 Ru 2.82
Ru 0.6667 0.3333 0.1556  12 Mn 2.68-2.69, 4 Ru 2.82
Ru 0.6667 0.3333 0.3444  12 Mn 2.68-2.69, 4 Ru 2.82

Properties
As for the formation enthalpy at 0 K: 0.036 eV/atom.

Here is a relaxed structure of SrMn2RuS from the Alexandria database. Energies are from GGA-PBEsol.

a = 4.9268 Å, b = 4.9268 Å, c = 5.0372 Å
α = 90.00°, β = 90.00°, γ = 90.00°
Last column: nearest neighbours and their distance in Å.
Positions (direct):
Sr 0.0000 0.0000 0.0000  4 Mn 2.46, 2 S 2.52
Mn 0.0000 0.5000 0.0000  2 Sr 2.46
Mn 0.5000 0.0000 0.0000  2 Sr 2.46
Ru 0.5000 0.5000 0.5000  4 S 3.48, 8 Mn 3.52
S 0.0000 0.0000 0.5000  2 Sr 2.52

Here is a relaxed structure of YMn2RuS from the Alexandria database. Energies are from GGA-PBEsol.

a = 4.7776 Å, b = 4.7776 Å, c = 4.8190 Å
α = 90.00°, β = 90.00°, γ = 90.00°
Last column: nearest neighbours and their distance in Å.
Positions (direct):
Y 0.0000 0.0000 0.0000  4 Mn 2.39, 2 S 2.41
Mn 0.0000 0.5000 0.0000  2 Y 2.39
Mn 0.5000 0.0000 0.0000  2 Y 2.39
Ru 0.5000 0.5000 0.5000  4 S 3.38, 8 Mn 3.39
S 0.0000 0.0000 0.5000  2 Y 2.41

Here is a relaxed structure of MnSbRu3 from the Alexandria database. Energies are from GGA-PBEsol.

a = 4.7195 Å, b = 4.7195 Å, c = 4.7195 Å
α = 90.00°, β = 90.00°, γ = 90.00°
Last column: nearest neighbours and their distance in Å.
Positions (direct):
Mn 0.0000 0.0000 0.0000  12 Ru 3.34
Sb 0.5000 0.5000 0.5000  6 Ru 2.36
Ru 0.0000 0.5000 0.5000  2 Sb 2.36
Ru 0.5000 0.0000 0.5000  2 Sb 2.36
Ru 0.5000 0.5000 0.0000  2 Sb 2.36

Here is a relaxed structure of MnSb2Ru from the Alexandria database. Energies are from GGA-PBEsol.

a = 3.1691 Å, b = 3.1691 Å, c = 6.3747 Å
α = 90.00°, β = 90.00°, γ = 90.00°
Last column: nearest neighbours and their distance in Å.
Positions (direct):
Mn 0.0000 0.0000 0.0000  8 Sb 2.72
Sb 0.5000 0.5000 0.2409  4 Mn 2.72, 4 Ru 2.78
Sb 0.5000 0.5000 0.7591  4 Mn 2.72, 4 Ru 2.78
Ru 0.0000 0.0000 0.5000  8 Sb 2.78

Here is a relaxed structure of MnSbRu from the Alexandria database. Energies are from GGA-PBEsol.

a = 4.3516 Å, b = 4.3516 Å, c = 2.9855 Å
α = 90.00°, β = 90.00°, γ = 120.00°
Last column: nearest neighbours and their distance in Å.
Positions (direct):
Mn 0.0000 0.0000 0.0000  6 Sb 2.91-2.93, 6 Ru 2.92-2.93, 2 Mn 2.99
Sb 0.6667 0.3333 0.5071  3 Ru 2.51
Ru 0.3333 0.6667 0.4965  3 Sb 2.51

Here is a relaxed structure of MnSbRu from the Alexandria database. Energies are from GGA-PBEsol.

a = 4.8344 Å, b = 4.8344 Å, c = 4.8344 Å
α = 139.23°, β = 139.23°, γ = 59.02°
Last column: nearest neighbours and their distance in Å.
Positions (direct):
Mn 0.0000 0.0000 0.0000  5 Ru 2.73-2.86, 5 Sb 2.75-2.79
Sb 0.3268 0.3268 0.0000  5 Mn 2.75-2.79, 5 Ru 2.77-2.80
Ru 0.6597 0.6597 0.0000  5 Mn 2.73-2.86, 5 Sb 2.77-2.80

Here is a relaxed structure of Mn2SbRu from the Alexandria database. Energies are from GGA-PBEsol.

a = 8.4060 Å, b = 8.4060 Å, c = 8.4060 Å
α = 20.36°, β = 20.36°, γ = 20.36°
Last column: nearest neighbours and their distance in Å.
Positions (direct):
Mn 0.2432 0.2432 0.2432  3 Ru 2.55, 3 Sb 2.81
Mn 0.7568 0.7568 0.7568  3 Ru 2.55, 3 Sb 2.81
Sb 0.0000 0.0000 0.0000  6 Mn 2.81, 6 Sb 2.97
Ru 0.5000 0.5000 0.5000  6 Mn 2.55

Here is a relaxed structure of MnSb2Ru from the Alexandria database. Energies are from GGA-PBEsol.

a = 6.5869 Å, b = 6.5869 Å, c = 6.5869 Å
α = 153.01°, β = 144.26°, γ = 45.35°
Last column: nearest neighbours and their distance in Å.
Positions (direct):
Mn 0.0000 0.0000 0.0000  6 Sb 2.72-2.85, 2 Ru 2.99
Sb 0.3936 0.3936 0.0000  2 Ru 2.70, 4 Mn 2.85
Sb 0.6498 0.1498 0.5000  4 Ru 2.65, 2 Mn 2.72
Ru 0.2108 0.7108 0.5000  6 Sb 2.65-2.70

Here is a relaxed structure of Mn2SbRu from the Alexandria database. Energies are from GGA-PBEsol.

a = 4.5268 Å, b = 4.5268 Å, c = 4.5268 Å
α = 128.88°, β = 128.88°, γ = 75.21°
Last column: nearest neighbours and their distance in Å.
Positions (direct):
Mn 0.0000 0.0000 0.0000  4 Mn 2.65, 4 Ru 2.65, 4 Sb 2.76
Mn 0.7500 0.2500 0.5000  4 Mn 2.65, 4 Sb 2.65, 4 Ru 2.76
Sb 0.5000 0.5000 0.0000  8 Mn 2.65-2.76, 4 Ru 2.65
Ru 0.2500 0.7500 0.5000  8 Mn 2.65-2.76, 4 Sb 2.65

Number 1: magnetic moment 0.0 μB per cell, calculated total energy -10.048 eV/atom. Number 2: magnetic moment 0.9 μB per cell, calculated total energy -9.752 eV/atom. Number 3: magnetic moment 3.5 μB per cell, calculated total energy -9.863 eV/atom. Number 4: magnetic moment 10.3 μB per cell, calculated total energy -4.894 eV/atom. Number 5: magnetic moment 9.3 μB per cell, calculated total energy -6.352 eV/atom. Number 6: magnetic moment 2.2 μB per cell, calculated total energy -7.112 eV/atom. Number 7: magnetic moment 0.2 μB per cell, calculated total energy -7.027 eV/atom. Number 8: magnetic moment 3.4 μB per cell, calculated total energy -7.897 eV/atom. Number 9: magnetic moment 4.6 μB per cell, calculated total energy -7.929 eV/atom. Number 10: magnetic moment 6.7 μB per cell, calculated total energy -8.022 eV/atom. Number 11: magnetic moment 3.6 μB per cell, calculated total energy -7.117 eV/atom. Number 12: magnetic moment 3.6 μB per cell, calculated total energy -8.414 eV/atom.